Below is a geometry-optimized ScW2ClO structure, with properties calculated at the GGA+U level.

a = 4.0355 Å, b = 5.5910 Å, c = 4.0355 Å
α = 90.00°, β = 90.00°, γ = 90.00°
Last column: magnetic moment on the atom in μB.
Fractional positions:
O  0.0000  0.0000  0.0000  -0.04
Cl  0.0000  0.5000  0.0000  0.07
W  0.0000  0.0000  0.5000  1.01
W  0.5000  0.0000  0.0000  0.72
Sc  0.5000  0.5000  0.5000  -0.33

Values from the calculation:
* final energy: -27.1 eV for the cell shown
* space group: P4/mmm
* N(E_F): 2.85 states/eV per cell